1.
A plane-wave DFT calculation with PBE was carried out for a relaxed LuGaCoIr crystal.

It has space group F-43m (No. 216), with a = 6.409 Å, b = 6.409 Å, c = 6.409 Å, α = 90.00°, β = 90.00° and γ = 90.00°. The inequivalent atoms are Lu at (0.000, 0.000, 0.000), Ga at (0.250, 0.250, 0.250), Co at (0.000, 0.000, 0.500) and Ir at (0.250, 0.250, 0.750).

Its magnetization is 2.0 μB per formula unit. The total energy is -6.03 eV per atom.



2.
A plane-wave DFT calculation with PBE was carried out for a relaxed ThZrCd crystal.

It has space group F-43m (No. 216), with a = 7.198 Å, b = 7.198 Å, c = 7.198 Å, α = 90.00°, β = 90.00° and γ = 90.00°. The inequivalent atoms are Th at (0.000, 0.000, 0.000), Zr at (0.250, 0.250, 0.250) and Cd at (0.250, 0.250, 0.750).

Its magnetization is 2.0 μB per formula unit. The formation energy comes out at 2.8 eV per formula unit. The total energy is -4.68 eV per atom.



3.
A plane-wave DFT calculation with PBE was carried out for a relaxed TlIrAuSe3 crystal.

It has space group Cmcm (No. 63), with a = 3.855 Å, b = 14.779 Å, c = 10.125 Å, α = 90.00°, β = 90.00° and γ = 90.00°. The inequivalent atoms are Tl at (0.000, 0.205, 0.250), Ir at (0.000, 0.500, 0.000), Au at (0.000, 0.145, 0.750), Se at (0.000, 0.109, 0.514) and Se at (0.000, 0.453, 0.750).

Its magnetization is 0.0 μB per formula unit. The total energy is -4.30 eV per atom.



4.
A plane-wave DFT calculation with PBE was carried out for a relaxed GdGeB crystal.

It has space group F-43m (No. 216), with a = 6.216 Å, b = 6.216 Å, c = 6.216 Å, α = 90.00°, β = 90.00° and γ = 90.00°. The inequivalent atoms are Gd at (0.000, 0.000, 0.000), Ge at (0.250, 0.250, 0.750) and B at (0.000, 0.000, 0.500).

Its magnetization is 0.0 μB per formula unit. The total energy is -4.67 eV per atom.



5.
A plane-wave DFT calculation with PBE was carried out for a relaxed Hf4Nb2Ni3N3 crystal.

It has space group C2/c (No. 15), with a = 9.331 Å, b = 5.358 Å, c = 13.699 Å, α = 90.00°, β = 103.78° and γ = 90.00°. The inequivalent atoms are Hf at (0.113, 0.090, 0.093), Hf at (0.222, 0.082, 0.407), Nb at (0.039, 0.418, 0.871), Ni at (0.000, 0.069, 0.250), Ni at (0.239, 0.346, 0.250), N at (0.082, 0.256, 0.500) and N at (0.250, 0.250, 0.000).

Its magnetization is 0.5 μB per formula unit. The total energy is -9.23 eV per atom.



6.
A plane-wave DFT calculation with PBE was carried out for a relaxed Pr2DyMg3In2Hg crystal.

It has space group Amm2 (No. 38), with a = 4.713 Å, b = 13.146 Å, c = 7.724 Å, α = 90.00°, β = 90.00° and γ = 90.00°. The inequivalent atoms are Pr at (0.000, 0.208, 0.000), Dy at (0.000, 0.000, 0.374), Mg at (0.500, 0.000, 0.027), Mg at (0.500, 0.120, 0.670), In at (0.500, 0.163, 0.292) and Hg at (0.000, 0.000, 0.780).

Its magnetization is 0.0 μB per formula unit. The total energy is -3.16 eV per atom.



7.
A plane-wave DFT calculation with PBE was carried out for a relaxed AcSiPt crystal.

It has space group F-43m (No. 216), with a = 7.066 Å, b = 7.066 Å, c = 7.066 Å, α = 90.00°, β = 90.00° and γ = 90.00°. The inequivalent atoms are Ac at (0.000, 0.000, 0.000), Si at (0.250, 0.250, 0.250) and Pt at (0.250, 0.250, 0.750).

Its magnetization is 0.0 μB per formula unit. The total energy is -5.06 eV per atom.



8.
A plane-wave DFT calculation with PBE was carried out for a relaxed NdThSb crystal.

It has space group F-43m (No. 216), with a = 7.429 Å, b = 7.429 Å, c = 7.429 Å, α = 90.00°, β = 90.00° and γ = 90.00°. The inequivalent atoms are Nd at (0.000, 0.000, 0.000), Th at (0.000, 0.000, 0.500) and Sb at (0.250, 0.250, 0.250).

Its magnetization is 0.2 μB per formula unit. The total energy is -5.81 eV per atom.



9.
A plane-wave DFT calculation with PBE was carried out for a relaxed La3Cu3As4 crystal.

It has space group I-43d (No. 220), with a = 9.440 Å, b = 9.440 Å, c = 9.440 Å, α = 90.00°, β = 90.00° and γ = 90.00°. The inequivalent atoms are La at (0.000, 0.250, 0.875), Cu at (0.000, 0.250, 0.375) and As at (0.077, 0.423, 0.577).

Its magnetization is 0.0 μB per formula unit. The total energy is -5.36 eV per atom.



10.
A plane-wave DFT calculation with PBE was carried out for a relaxed KPm crystal.

It has space group Fm-3m (No. 225), with a = 7.017 Å, b = 7.017 Å, c = 7.017 Å, α = 90.00°, β = 90.00° and γ = 90.00°. The inequivalent atoms are K at (0.000, 0.000, 0.000) and Pm at (0.000, 0.000, 0.500).

Its magnetization is 0.0 μB per formula unit. The total energy is -1.81 eV per atom.



11.
A plane-wave DFT calculation with PBE was carried out for a relaxed Sc2Sn3W4N3 crystal.

It has space group C2/c (No. 15), with a = 9.712 Å, b = 5.665 Å, c = 13.757 Å, α = 90.00°, β = 103.23° and γ = 90.00°. The inequivalent atoms are Sc at (0.057, 0.085, 0.409), Sn at (0.000, 0.441, 0.250), Sn at (0.180, 0.102, 0.748), W at (0.111, 0.435, 0.575), W at (0.216, 0.406, 0.923), N at (0.078, 0.235, 0.000) and N at (0.250, 0.250, 0.500).

Its magnetization is 0.0 μB per formula unit. The total energy is -8.74 eV per atom.



12.
A plane-wave DFT calculation with PBE was carried out for a relaxed K2ReO4 crystal.

It has space group C2/m (No. 12), with a = 12.442 Å, b = 6.060 Å, c = 7.357 Å, α = 90.00°, β = 116.47° and γ = 90.00°. The inequivalent atoms are K at (0.012, 0.000, 0.239), K at (0.155, 0.500, 0.746), Re at (0.177, 0.500, 0.228), O at (0.075, 0.500, 0.343), O at (0.146, 0.242, 0.094) and O at (0.161, 0.000, 0.636).

Its magnetization is 1.0 μB per formula unit. The total energy is -6.65 eV per atom.